No. 1
Below is a relaxed BP3Se crystal, with properties calculated at the GGA-PBE level.

a = 4.771 Å, b = 4.771 Å, c = 4.771 Å
α = 90.00°, β = 90.00°, γ = 90.00°
Positions (direct):
P  0.000  0.500  0.000
P  0.000  0.000  0.500
P  0.500  0.000  0.000
B  0.500  0.500  0.500
Se  0.000  0.000  0.000

Results
Density   2.8 Mg/m³
DOS(E_F)   7.0 states/eV/cell
E_form (uncorrected)   2.02 eV per atom
Symmetry   Pm-3m

No. 2
Below is a relaxed TbPr2Te2S2 crystal, with properties calculated at the GGA-PBE level.

a = 5.095 Å, b = 5.095 Å, c = 8.861 Å
α = 106.71°, β = 106.71°, γ = 90.00°
Positions (direct):
Tb  0.000  0.000  0.000
Pr  0.384  0.384  0.768
Pr  0.616  0.616  0.232
Te  0.186  0.186  0.372
Te  0.814  0.814  0.628
S  0.000  0.500  0.000
S  0.500  0.000  0.000

Results
Density   6.0 Mg/m³
DOS(E_F)   2.9 states/eV/cell
E_form (uncorrected)   -1.51 eV per atom
Symmetry   I4/mmm

No. 3
Below is a relaxed SmFe2Ge3 crystal, with properties calculated at the GGA-PBE level.

a = 5.410 Å, b = 6.091 Å, c = 6.091 Å
α = 103.97°, β = 90.00°, γ = 90.00°
Positions (direct):
Sm  0.250  0.346  0.346
Sm  0.750  0.654  0.654
Fe  0.500  0.799  0.201
Fe  0.000  0.799  0.201
Fe  0.000  0.201  0.799
Fe  0.500  0.201  0.799
Ge  0.750  0.474  0.107
Ge  0.750  0.107  0.474
Ge  0.250  0.526  0.893
Ge  0.750  0.045  0.045
Ge  0.250  0.955  0.955
Ge  0.250  0.893  0.526

Results
Density   8.2 Mg/m³
E_form   -316.0 meV/atom
DOS(E_F)   8.5 states/eV/cell
Symmetry   Cmcm

No. 4
Below is a relaxed HAuN2 crystal, with properties calculated at the GGA-PBE level.

a = 4.907 Å, b = 4.907 Å, c = 4.907 Å
α = 38.73°, β = 38.73°, γ = 38.73°
Positions (direct):
H  0.000  0.000  0.000
Au  0.500  0.500  0.500
N  0.906  0.906  0.906
N  0.094  0.094  0.094

Results
VASP energy   -0.3496 Ry/atom
Density   9.0 Mg/m³
DOS(E_F)   0.0 states/eV/cell
Symmetry   R-3m

No. 5
Below is a relaxed Sc2PaBi3 crystal, with properties calculated at the GGA-PBE level.

a = 4.382 Å, b = 4.382 Å, c = 9.657 Å
α = 103.11°, β = 103.11°, γ = 90.00°
Each line ends with the local moment (μB).
Positions (direct):
Sc  0.101  0.102  0.206  0.03
Sc  0.768  0.769  0.542  0.03
Pa  0.434  0.436  0.874  0.87
Bi  0.934  0.936  0.874  -0.02
Bi  0.263  0.264  0.531  -0.01
Bi  0.606  0.607  0.217  -0.01

Results
Density   9.0 Mg/m³
E_form   -429.4 meV/atom
DOS(E_F)   6.5 states/eV/cell
Symmetry   I4/mmm

No. 6
Below is a relaxed SiGe2Rh5 crystal, with properties calculated at the GGA-PBE level.

a = 3.973 Å, b = 5.492 Å, c = 10.379 Å
α = 90.00°, β = 90.00°, γ = 90.00°
Positions (direct):
Si  0.000  0.000  0.500
Si  0.000  0.500  0.000
Ge  0.500  0.399  0.347
Ge  0.500  0.601  0.653
Ge  0.500  0.101  0.847
Ge  0.500  0.899  0.153
Rh  0.500  0.335  0.104
Rh  0.500  0.665  0.896
Rh  0.500  0.835  0.396
Rh  0.500  0.165  0.604
Rh  0.000  0.850  0.714
Rh  0.000  0.150  0.286
Rh  0.000  0.350  0.786
Rh  0.000  0.650  0.214
Rh  0.000  0.500  0.500
Rh  0.000  0.000  0.000

Results
Density   10.1 Mg/m³
DOS(E_F)   11.0 states/eV/cell
E_form (uncorrected)   -0.58 eV per atom
Symmetry   Pbam

Question: Which of these has the lowest density?
Answer: BP3Se